<i>
DFT (PBE) results for NaSmHg after structural relaxation.

Cell: 5.145 5.145 5.145 Å, 60.00 60.00 60.00°
Fractional positions:
Na 0.000 0.000 0.000
Sm 0.750 0.750 0.750
Hg 0.500 0.500 0.500

<ii>
DFT (PBE) results for NaSmHg after structural relaxation.

Cell: 4.957 4.957 4.957 Å, 60.00 60.00 60.00°
Fractional positions:
Na 0.000 0.000 0.000
Sm 0.250 0.250 0.250
Hg 0.750 0.750 0.750

Of them, <i> has the lowest stability.

<i>
DFT (PBE) results for NaSrHg after structural relaxation.

Cell: 5.516 5.516 5.516 Å, 60.00 60.00 60.00°
Fractional positions:
Na 0.000 0.000 0.000
Sr 0.750 0.750 0.750
Hg 0.500 0.500 0.500

<ii>
DFT (PBE) results for NaSrHg after structural relaxation.

Cell: 5.406 5.406 5.406 Å, 60.00 60.00 60.00°
Fractional positions:
Na 0.000 0.000 0.000
Sr 0.500 0.500 0.500
Hg 0.250 0.250 0.250

Of them, <i> has the lowest stability.

<i>
DFT (PBE) results for NaTbHg3Te4 after structural relaxation.

Cell: 7.323 8.075 10.935 Å, 90.00 104.70 90.00°
Fractional positions:
Na 0.190 0.250 0.100
Na 0.810 0.750 0.900
Tb 0.479 0.250 0.690
Tb 0.521 0.750 0.310
Hg 0.015 0.750 0.264
Hg 0.218 0.567 0.492
Hg 0.218 0.933 0.492
Hg 0.782 0.067 0.508
Hg 0.782 0.433 0.508
Hg 0.985 0.250 0.736
Te 0.212 0.750 0.074
Te 0.248 0.523 0.756
Te 0.248 0.977 0.756
Te 0.336 0.250 0.396
Te 0.664 0.750 0.604
Te 0.752 0.023 0.244
Te 0.752 0.477 0.244
Te 0.788 0.250 0.926

<ii>
DFT (PBE) results for NaTbHg3Te4 after structural relaxation.

Cell: 7.136 7.136 7.136 Å, 90.00 90.00 90.00°
Fractional positions:
Na 0.000 0.000 0.000
Tb 0.500 0.500 0.500
Hg 0.000 0.500 0.500
Hg 0.500 0.000 0.500
Hg 0.500 0.500 0.000
Te 0.261 0.261 0.261
Te 0.261 0.739 0.739
Te 0.739 0.261 0.739
Te 0.739 0.739 0.261

Of them, <i> has the lowest stability.